1.
The following is a DFT calculation (GGA-PBE) of a relaxed structure of NbGaW.

a = 3.779 Å, b = 3.779 Å, c = 14.192 Å
α = 90.00°, β = 90.00°, γ = 90.00°
Space group I4/mmm (No. 139)
Asymmetric unit:
Nb (0.000, 0.000, 0.170) [4 per cell]
Ga (0.000, 0.000, 0.359) [4 per cell]
W (0.000, 0.500, 0.000) [4 per cell]

Output
DOS(E_F) in states/eV/atom: 0.47
DFT formation energy in eV/atom: -0.092
Excess energy over the best structure of this formula in the dataset in meV per atom: 0


2.
The following is a DFT calculation (GGA-PBE) of a relaxed structure of Cu9Pd2Au.

a = 3.737 Å, b = 3.737 Å, c = 11.235 Å
α = 90.00°, β = 90.00°, γ = 90.00°
Space group P4/mmm (No. 123)
Asymmetric unit:
Cu (0.000, 0.000, 0.000) [1 per cell]
Cu (0.000, 0.000, 0.336) [2 per cell]
Cu (0.000, 0.500, 0.171) [4 per cell]
Cu (0.000, 0.500, 0.500) [2 per cell]
Pd (0.500, 0.500, 0.335) [2 per cell]
Au (0.500, 0.500, 0.000) [1 per cell]

Output
DOS(E_F) in states/eV/atom: 0.30
DFT formation energy in eV/atom: -0.089


3.
The following is a DFT calculation (GGA-PBE) of a relaxed structure of Fe2AsP.

a = 3.683 Å, b = 3.683 Å, c = 7.638 Å
α = 90.00°, β = 90.00°, γ = 90.00°
Space group I-4m2 (No. 119)
Asymmetric unit:
Fe (0.000, 0.000, 0.000) [2 per cell]
Fe (0.000, 0.500, 0.250) [2 per cell]
As (0.000, 0.000, 0.500) [2 per cell]
P (0.000, 0.500, 0.750) [2 per cell]

Output
DOS(E_F) in states/eV/atom: 1.00
DFT formation energy in eV/atom: 0.208


4.
The following is a DFT calculation (GGA-PBE) of a relaxed structure of MgNp2CdO8.

a = 6.738 Å, b = 6.990 Å, c = 6.956 Å
α = 90.00°, β = 90.00°, γ = 90.00°
Space group Cmmm (No. 65)
Asymmetric unit:
Mg (0.000, 0.000, 0.000) [2 per cell]
Np (0.000, 0.500, 0.246) [4 per cell]
Cd (0.000, 0.000, 0.500) [2 per cell]
O (0.000, 0.312, 0.000) [4 per cell]
O (0.000, 0.320, 0.500) [4 per cell]
O (0.211, 0.000, 0.234) [8 per cell]

Output
DOS(E_F) in states/eV/atom: 0.53
Formation energy (no corrections) in eV per formula unit: -29.803


5.
The following is a DFT calculation (GGA-PBE) of a relaxed structure of Ca4ScBr.

a = 9.845 Å, b = 9.845 Å, c = 9.845 Å
α = 90.00°, β = 90.00°, γ = 90.00°
Space group F-43m (No. 216)
Asymmetric unit:
Ca (0.123, 0.123, 0.123) [16 per cell]
Sc (0.250, 0.250, 0.750) [4 per cell]
Br (0.000, 0.000, 0.500) [4 per cell]

Output
DOS(E_F) in states/eV/atom: 1.63
Formation energy (no corrections) in eV per formula unit: 1.477


6.
The following is a DFT calculation (GGA-PBE) of a relaxed structure of Ca4ReTc.

a = 8.465 Å, b = 8.465 Å, c = 8.465 Å
α = 90.00°, β = 90.00°, γ = 90.00°
Space group F-43m (No. 216)
Asymmetric unit:
Ca (0.125, 0.125, 0.125) [16 per cell]
Re (0.250, 0.250, 0.750) [4 per cell]
Tc (0.000, 0.000, 0.500) [4 per cell]

Output
DOS(E_F) in states/eV/atom: 1.37
DFT formation energy in eV/atom: 1.539


Question: Which value of DOS(E_F) does entry 1 give?
Answer: 0.47 states/eV/atom


Question: Which formula does entry 6 have?
Answer: Ca4ReTc


Question: Number 1 is which compound?
Answer: NbGaW